Record 1
Density functional theory data (PBE) for an optimized crystal structure of Ac6CdIr2I3.

Calculated values
For the raw total energy, the calculation gives -58.78 eV/cell. As for the symmetry: C2/m (12).

Cell lengths 7.8394, 7.8394, 9.0438 Å; angles 98.35, 98.35, 119.97 degrees
With the nearest neighbours (Å) after each atom.
Fractional coordinates of all 12 atoms:
Ir  0.6669  0.3331  0.0000  6 Ac 2.99
Ac  0.5721  0.9364  0.8098  2 Ir 2.99, 1 Cd 3.30
Ac  0.4279  0.0636  0.1902  2 Ir 2.99, 1 Cd 3.30
Ac  0.0636  0.4279  0.1902  2 Ir 2.99, 1 Cd 3.30
Ir  0.3331  0.6669  0.0000  6 Ac 2.99
Ac  0.6993  0.6993  0.1894  2 Ir 2.99, 1 Cd 3.29
Cd  0.0000  0.0000  0.0000  6 Ac 3.29-3.30
I  0.1622  0.8378  0.5000  6 Ac 3.61-3.84
Ac  0.3007  0.3007  0.8106  2 Ir 2.99, 1 Cd 3.29
I  0.5000  0.5000  0.5000  6 Ac 3.59-3.83
Ac  0.9364  0.5721  0.8098  2 Ir 2.99, 1 Cd 3.30
I  0.8378  0.1622  0.5000  6 Ac 3.61-3.84

Record 2
Density functional theory data (PBE) for an optimized crystal structure of AcLaCdI.

Calculated values
For the raw total energy, the calculation gives -13.43 eV/cell. As for the symmetry: F-43m (216).

Cell lengths 5.7427, 5.7427, 5.7427 Å; angles 60.00, 60.00, 60.00 degrees
With the nearest neighbours (Å) after each atom.
Fractional coordinates of all 4 atoms:
Ac  0.5000  0.5000  0.5000  4 I 3.52, 4 Cd 3.52
I  0.7500  0.7500  0.7500  4 La 3.52, 4 Ac 3.52
Cd  0.2500  0.2500  0.2500  4 Ac 3.52, 4 La 3.52
La  0.0000  0.0000  0.0000  4 Cd 3.52, 4 I 3.52

What is the raw total energy in the first record?
-58.78 eV/cell

Which of these has the highest raw total energy?
AcLaCdI